[1]
Compound: CsPdBr3
Source: the Alexandria database
Functional: PBE-GGA
Structure: optimized geometry

* E_form (uncorrected): -0.624 eV/atom
* crystal system: tetragonal

a b c (Å): 13.4543 13.4543 13.4543
angles (deg): 155.68 155.68 34.67
Element x y z (fractional)
Cs 0.0945 0.0945 0.0000
Cs 0.9055 0.9055 0.0000
Pd 0.5000 0.5000 0.0000
Pd 0.7500 0.2500 0.5000
Br 0.0021 0.5021 0.5000
Br 0.0875 0.3291 0.7584
Br 0.4979 0.9979 0.5000
Br 0.5706 0.3291 0.2416
Br 0.6709 0.4294 0.7584
Br 0.6709 0.9125 0.2416

[2]
Compound: FePt2Br
Source: the Alexandria database
Functional: PBE-GGA
Structure: optimized geometry

* E_form (uncorrected): 0.180 eV/atom
* crystal system: trigonal
* excess energy over the best structure of this formula in the dataset: 0.0064 eV per atom

a b c (Å): 11.2506 11.2506 11.2506
angles (deg): 14.26 14.26 14.26
Element x y z (fractional)
Fe 0.0000 0.0000 0.0000
Pt 0.2709 0.2709 0.2709
Pt 0.7291 0.7291 0.7291
Br 0.5000 0.5000 0.5000

| no. | magnetization (μB/atom) | energy (eV/atom) |
| --- | --- | --- |
| 1 | 0.000 | -2.8367 |
| 2 | 0.982 | -5.3741 |